(1)
! TaZnCuSb, relaxed, DFT PBE; values from VASP
&SYSTEM
  ibrav = 0, nat = 4, ntyp = 4
/
ATOMIC_SPECIES
Ta 180.95 Ta.upf
Zn 65.41 Zn.upf
Cu 63.55 Cu.upf
Sb 121.76 Sb.upf
CELL_PARAMETERS angstrom
0.000 3.270 3.270
3.270 0.000 3.270
3.270 3.270 0.000
ATOMIC_POSITIONS crystal
Ta 0.000 0.000 0.000
Zn 0.750 0.750 0.750
Cu 0.500 0.500 0.500
Sb 0.250 0.250 0.250
! Relative energy among the computed polymorphs   0.0 meV per atom
! Calculated density   10.25 Mg/m³

---

(2)
! TaZnCuSb, relaxed, DFT PBE; values from VASP
&SYSTEM
  ibrav = 0, nat = 4, ntyp = 4
/
ATOMIC_SPECIES
Ta 180.95 Ta.upf
Zn 65.41 Zn.upf
Cu 63.55 Cu.upf
Sb 121.76 Sb.upf
CELL_PARAMETERS angstrom
0.000 3.276 3.276
3.276 0.000 3.276
3.276 3.276 0.000
ATOMIC_POSITIONS crystal
Ta 0.000 0.000 0.000
Zn 0.250 0.250 0.250
Cu 0.750 0.750 0.750
Sb 0.500 0.500 0.500
! Relative energy among the computed polymorphs   181.4 meV per atom
! Calculated density   10.19 Mg/m³

---

(3)
! Tb3Cu3Sb4, relaxed, DFT PBE; values from VASP
&SYSTEM
  ibrav = 0, nat = 20, ntyp = 3
/
ATOMIC_SPECIES
Tb 158.93 Tb.upf
Cu 63.55 Cu.upf
Sb 121.76 Sb.upf
CELL_PARAMETERS angstrom
-4.790 4.790 4.790
4.790 -4.790 4.790
4.790 4.790 -4.790
ATOMIC_POSITIONS crystal
Tb 0.125 0.750 0.875
Tb 0.250 0.625 0.375
Tb 0.375 0.250 0.625
Tb 0.625 0.375 0.250
Tb 0.750 0.875 0.125
Tb 0.875 0.125 0.750
Cu 0.125 0.875 0.250
Cu 0.250 0.125 0.875
Cu 0.375 0.625 0.750
Cu 0.625 0.750 0.375
Cu 0.750 0.375 0.625
Cu 0.875 0.250 0.125
Sb 0.000 0.339 0.500
Sb 0.000 0.839 0.500
Sb 0.161 0.161 0.161
Sb 0.339 0.500 0.000
Sb 0.500 0.000 0.339
Sb 0.500 0.000 0.839
Sb 0.661 0.661 0.661
Sb 0.839 0.500 0.000
! Total energy   -48.914 eV/f.u.
! Calculated density   8.72 Mg/m³

---

(4)
! Tb2CuSb4, relaxed, DFT PBE; values from VASP
&SYSTEM
  ibrav = 0, nat = 7, ntyp = 3
/
ATOMIC_SPECIES
Tb 158.93 Tb.upf
Cu 63.55 Cu.upf
Sb 121.76 Sb.upf
CELL_PARAMETERS angstrom
4.358 0.000 0.000
0.000 4.358 0.000
0.000 0.000 9.390
ATOMIC_POSITIONS crystal
Tb 0.000 0.500 0.238
Tb 0.500 0.000 0.762
Cu 0.500 0.500 0.000
Sb 0.000 0.000 0.500
Sb 0.000 0.500 0.856
Sb 0.500 0.000 0.144
Sb 0.500 0.500 0.500
! Total energy   -34.289 eV/f.u.
! Calculated density   8.09 Mg/m³

---

(5)
! TbYCu2Sb4, relaxed, DFT PBE; values from VASP
&SYSTEM
  ibrav = 0, nat = 8, ntyp = 4
/
ATOMIC_SPECIES
Tb 158.93 Tb.upf
Y 88.91 Y.upf
Cu 63.55 Cu.upf
Sb 121.76 Sb.upf
CELL_PARAMETERS angstrom
4.304 0.000 0.000
0.000 4.304 0.000
0.000 0.000 9.863
ATOMIC_POSITIONS crystal
Tb 0.000 0.000 0.000
Y 0.500 0.500 0.501
Cu 0.000 0.500 0.251
Cu 0.500 0.000 0.251
Sb 0.000 0.000 0.411
Sb 0.000 0.500 0.751
Sb 0.500 0.000 0.751
Sb 0.500 0.500 0.090
! Total energy   -40.018 eV/f.u.
! Calculated density   7.83 Mg/m³

---

(6)
! CuTcSb4, relaxed, DFT PBE; values from VASP
&SYSTEM
  ibrav = 0, nat = 6, ntyp = 3
/
ATOMIC_SPECIES
Cu 63.55 Cu.upf
Tc 98.00 Tc.upf
Sb 121.76 Sb.upf
CELL_PARAMETERS angstrom
5.986 0.000 0.000
0.000 3.361 0.000
-0.062 0.000 6.741
ATOMIC_POSITIONS crystal
Cu 0.000 0.000 0.000
Tc 0.500 0.500 0.500
Sb 0.185 0.000 0.362
Sb 0.316 0.500 0.856
Sb 0.684 0.500 0.144
Sb 0.815 0.000 0.638
! Total energy   -30.617 eV/f.u.
! Calculated density   7.94 Mg/m³

---

(7)
! ZnCuTcSb, relaxed, DFT PBE; values from VASP
&SYSTEM
  ibrav = 0, nat = 4, ntyp = 4
/
ATOMIC_SPECIES
Zn 65.41 Zn.upf
Cu 63.55 Cu.upf
Tc 98.00 Tc.upf
Sb 121.76 Sb.upf
CELL_PARAMETERS angstrom
0.000 3.180 3.180
3.180 0.000 3.180
3.180 3.180 0.000
ATOMIC_POSITIONS crystal
Zn 0.000 0.000 0.000
Cu 0.500 0.500 0.500
Tc 0.750 0.750 0.750
Sb 0.250 0.250 0.250
! Relative energy among the computed polymorphs   304.4 meV per atom
! Calculated density   9.00 Mg/m³

---

(8)
! ZnCuTcSb, relaxed, DFT PBE; values from VASP
&SYSTEM
  ibrav = 0, nat = 4, ntyp = 4
/
ATOMIC_SPECIES
Zn 65.41 Zn.upf
Cu 63.55 Cu.upf
Tc 98.00 Tc.upf
Sb 121.76 Sb.upf
CELL_PARAMETERS angstrom
0.000 3.158 3.158
3.158 0.000 3.158
3.158 3.158 0.000
ATOMIC_POSITIONS crystal
Zn 0.000 0.000 0.000
Cu 0.750 0.750 0.750
Tc 0.250 0.250 0.250
Sb 0.500 0.500 0.500
! Relative energy among the computed polymorphs   0.0 meV per atom
! Calculated density   9.19 Mg/m³

---

(9)
! Th2CuSb4, relaxed, DFT PBE; values from VASP
&SYSTEM
  ibrav = 0, nat = 7, ntyp = 3
/
ATOMIC_SPECIES
Th 232.04 Th.upf
Cu 63.55 Cu.upf
Sb 121.76 Sb.upf
CELL_PARAMETERS angstrom
4.436 0.000 0.000
0.000 4.436 0.000
0.000 0.000 9.537
ATOMIC_POSITIONS crystal
Th 0.000 0.500 0.238
Th 0.500 0.000 0.762
Cu 0.500 0.500 0.000
Sb 0.000 0.000 0.500
Sb 0.000 0.500 0.853
Sb 0.500 0.000 0.147
Sb 0.500 0.500 0.500
! Total energy   -40.007 eV/f.u.
! Calculated density   8.98 Mg/m³

---

(10)
! Tl2CuSb, relaxed, DFT PBE; values from VASP
&SYSTEM
  ibrav = 0, nat = 4, ntyp = 3
/
ATOMIC_SPECIES
Tl 204.38 Tl.upf
Cu 63.55 Cu.upf
Sb 121.76 Sb.upf
CELL_PARAMETERS angstrom
0.000 3.718 3.718
3.718 0.000 3.718
3.718 3.718 0.000
ATOMIC_POSITIONS crystal
Tl 0.000 0.000 0.000
Tl 0.250 0.250 0.250
Cu 0.750 0.750 0.750
Sb 0.500 0.500 0.500
! Total energy   -11.484 eV/f.u.
! Calculated density   9.60 Mg/m³

---

(11)
! TmCuSb2, relaxed, DFT PBE; values from VASP
&SYSTEM
  ibrav = 0, nat = 8, ntyp = 3
/
ATOMIC_SPECIES
Tm 168.93 Tm.upf
Cu 63.55 Cu.upf
Sb 121.76 Sb.upf
CELL_PARAMETERS angstrom
4.279 0.000 0.000
0.000 4.279 0.000
0.000 0.000 9.770
ATOMIC_POSITIONS crystal
Tm 0.250 0.250 0.247
Tm 0.750 0.750 0.753
Cu 0.250 0.750 0.500
Cu 0.750 0.250 0.500
Sb 0.250 0.250 0.665
Sb 0.250 0.750 0.000
Sb 0.750 0.250 0.000
Sb 0.750 0.750 0.335
! Total energy   -18.674 eV/f.u.
! Calculated density   8.84 Mg/m³

---

(12)
! UCuSb2, relaxed, DFT PBE; values from VASP
&SYSTEM
  ibrav = 0, nat = 8, ntyp = 3
/
ATOMIC_SPECIES
U 238.03 U.upf
Cu 63.55 Cu.upf
Sb 121.76 Sb.upf
CELL_PARAMETERS angstrom
4.339 0.000 0.000
0.000 4.339 0.000
0.000 0.000 9.610
ATOMIC_POSITIONS crystal
U 0.250 0.250 0.249
U 0.750 0.750 0.751
Cu 0.250 0.750 0.000
Cu 0.750 0.250 0.000
Sb 0.250 0.250 0.832
Sb 0.250 0.750 0.500
Sb 0.750 0.250 0.500
Sb 0.750 0.750 0.168
! Total energy   -24.178 eV/f.u.
! Calculated density   10.01 Mg/m³

---

(13)
! U3Cu3Sb4, relaxed, DFT PBE; values from VASP
&SYSTEM
  ibrav = 0, nat = 20, ntyp = 3
/
ATOMIC_SPECIES
U 238.03 U.upf
Cu 63.55 Cu.upf
Sb 121.76 Sb.upf
CELL_PARAMETERS angstrom
-4.780 4.780 4.780
4.780 -4.780 4.780
4.780 4.780 -4.780
ATOMIC_POSITIONS crystal
U 0.125 0.875 0.250
U 0.250 0.125 0.875
U 0.375 0.625 0.750
U 0.625 0.750 0.375
U 0.750 0.375 0.625
U 0.875 0.250 0.125
Cu 0.125 0.750 0.875
Cu 0.250 0.625 0.375
Cu 0.375 0.250 0.625
Cu 0.625 0.375 0.250
Cu 0.750 0.875 0.125
Cu 0.875 0.125 0.750
Sb 0.000 0.168 0.500
Sb 0.000 0.668 0.500
Sb 0.168 0.500 0.000
Sb 0.332 0.332 0.332
Sb 0.500 0.000 0.168
Sb 0.500 0.000 0.668
Sb 0.668 0.500 0.000
Sb 0.832 0.832 0.832
! Total energy   -63.139 eV/f.u.
! Calculated density   10.58 Mg/m³

---

(14)
! CuSb2W, relaxed, DFT PBE; values from VASP
&SYSTEM
  ibrav = 0, nat = 8, ntyp = 3
/
ATOMIC_SPECIES
Cu 63.55 Cu.upf
Sb 121.76 Sb.upf
W 183.84 W.upf
CELL_PARAMETERS angstrom
-3.028 3.028 6.022
3.028 -3.028 6.022
3.028 3.028 -6.022
ATOMIC_POSITIONS crystal
Cu 0.000 0.000 0.000
Cu 0.750 0.250 0.500
Sb 0.118 0.125 0.493
Sb 0.375 0.882 0.007
Sb 0.632 0.625 0.507
Sb 0.875 0.368 0.993
W 0.250 0.750 0.500
W 0.500 0.500 0.000
! Relative energy among the computed polymorphs   0.0 meV per atom
! Calculated density   7.38 Mg/m³

---

(15)
! CuSb2W, relaxed, DFT PBE; values from VASP
&SYSTEM
  ibrav = 0, nat = 4, ntyp = 3
/
ATOMIC_SPECIES
Cu 63.55 Cu.upf
Sb 121.76 Sb.upf
W 183.84 W.upf
CELL_PARAMETERS angstrom
0.000 3.395 3.395
3.395 0.000 3.395
3.395 3.395 0.000
ATOMIC_POSITIONS crystal
Cu 0.000 0.000 0.000
Sb 0.250 0.250 0.250
Sb 0.500 0.500 0.500
W 0.750 0.750 0.750
! Relative energy among the computed polymorphs   133.0 meV per atom
! Calculated density   10.42 Mg/m³

---

(16)
! CuSb5W3, relaxed, DFT PBE; values from VASP
&SYSTEM
  ibrav = 0, nat = 9, ntyp = 3
/
ATOMIC_SPECIES
Cu 63.55 Cu.upf
Sb 121.76 Sb.upf
W 183.84 W.upf
CELL_PARAMETERS angstrom
5.535 0.000 0.000
-2.767 4.793 0.000
0.000 0.000 8.365
ATOMIC_POSITIONS crystal
Cu 0.000 0.000 0.000
Sb 0.000 0.000 0.500
Sb 0.333 0.667 0.210
Sb 0.333 0.667 0.790
Sb 0.667 0.333 0.210
Sb 0.667 0.333 0.790
W 0.000 0.500 0.500
W 0.500 0.000 0.500
W 0.500 0.500 0.500
! Total energy   -58.916 eV/f.u.
! Calculated density   9.16 Mg/m³

---

(17)
! ZnCuSbW, relaxed, DFT PBE; values from VASP
&SYSTEM
  ibrav = 0, nat = 4, ntyp = 4
/
ATOMIC_SPECIES
Zn 65.41 Zn.upf
Cu 63.55 Cu.upf
Sb 121.76 Sb.upf
W 183.84 W.upf
CELL_PARAMETERS angstrom
0.000 3.219 3.219
3.219 0.000 3.219
3.219 3.219 0.000
ATOMIC_POSITIONS crystal
Zn 0.000 0.000 0.000
Cu 0.500 0.500 0.500
Sb 0.250 0.250 0.250
W 0.750 0.750 0.750
! Relative energy among the computed polymorphs   287.7 meV per atom
! Calculated density   10.82 Mg/m³

---

(18)
! ZnCuSbW, relaxed, DFT PBE; values from VASP
&SYSTEM
  ibrav = 0, nat = 4, ntyp = 4
/
ATOMIC_SPECIES
Zn 65.41 Zn.upf
Cu 63.55 Cu.upf
Sb 121.76 Sb.upf
W 183.84 W.upf
CELL_PARAMETERS angstrom
0.000 3.207 3.207
3.207 0.000 3.207
3.207 3.207 0.000
ATOMIC_POSITIONS crystal
Zn 0.000 0.000 0.000
Cu 0.750 0.750 0.750
Sb 0.500 0.500 0.500
W 0.250 0.250 0.250
! Relative energy among the computed polymorphs   0.0 meV per atom
! Calculated density   10.94 Mg/m³

---

(19)
! Zr3CuSb5, relaxed, DFT PBE; values from VASP
&SYSTEM
  ibrav = 0, nat = 9, ntyp = 3
/
ATOMIC_SPECIES
Zr 91.22 Zr.upf
Cu 63.55 Cu.upf
Sb 121.76 Sb.upf
CELL_PARAMETERS angstrom
6.155 0.000 0.000
-3.078 5.330 0.000
0.000 0.000 7.491
ATOMIC_POSITIONS crystal
Zr 0.000 0.500 0.000
Zr 0.500 0.000 0.000
Zr 0.500 0.500 0.000
Cu 0.000 0.000 0.500
Sb 0.000 0.000 0.000
Sb 0.333 0.667 0.309
Sb 0.333 0.667 0.691
Sb 0.667 0.333 0.309
Sb 0.667 0.333 0.691
! Total energy   -49.503 eV/f.u.
! Calculated density   6.39 Mg/m³

---

(20)
! ZrCuSb2, relaxed, DFT PBE; values from VASP
&SYSTEM
  ibrav = 0, nat = 4, ntyp = 3
/
ATOMIC_SPECIES
Zr 91.22 Zr.upf
Cu 63.55 Cu.upf
Sb 121.76 Sb.upf
CELL_PARAMETERS angstrom
0.000 3.531 3.531
3.531 0.000 3.531
3.531 3.531 0.000
ATOMIC_POSITIONS crystal
Zr 0.000 0.000 0.000
Cu 0.250 0.250 0.250
Sb 0.500 0.500 0.500
Sb 0.750 0.750 0.750
! Total energy   -19.745 eV/f.u.
! Calculated density   7.51 Mg/m³

---

(21)
! Zr4CuSb7, relaxed, DFT PBE; values from VASP
&SYSTEM
  ibrav = 0, nat = 48, ntyp = 3
/
ATOMIC_SPECIES
Zr 91.22 Zr.upf
Cu 63.55 Cu.upf
Sb 121.76 Sb.upf
CELL_PARAMETERS angstrom
11.260 0.000 0.000
0.000 11.260 0.000
0.000 0.000 8.769
ATOMIC_POSITIONS crystal
Zr 0.000 0.000 0.000
Zr 0.000 0.500 0.983
Zr 0.004 0.249 0.518
Zr 0.246 0.254 0.992
Zr 0.249 0.996 0.518
Zr 0.251 0.496 0.518
Zr 0.254 0.754 0.992
Zr 0.496 0.749 0.518
Zr 0.500 0.000 0.983
Zr 0.500 0.500 0.000
Zr 0.504 0.251 0.518
Zr 0.746 0.246 0.992
Zr 0.749 0.504 0.518
Zr 0.751 0.004 0.518
Zr 0.754 0.746 0.992
Zr 0.996 0.751 0.518
Cu 0.126 0.626 0.251
Cu 0.374 0.126 0.251
Cu 0.626 0.874 0.251
Cu 0.874 0.374 0.251
Sb 0.000 0.000 0.646
Sb 0.000 0.500 0.632
Sb 0.003 0.751 0.872
Sb 0.108 0.392 0.257
Sb 0.125 0.857 0.256
Sb 0.143 0.125 0.256
Sb 0.247 0.747 0.641
Sb 0.249 0.003 0.872
Sb 0.251 0.503 0.872
Sb 0.253 0.247 0.641
Sb 0.357 0.625 0.256
Sb 0.375 0.357 0.256
Sb 0.392 0.892 0.257
Sb 0.497 0.251 0.872
Sb 0.500 0.000 0.632
Sb 0.500 0.500 0.646
Sb 0.503 0.749 0.872
Sb 0.608 0.108 0.257
Sb 0.625 0.643 0.256
Sb 0.643 0.375 0.256
Sb 0.747 0.753 0.641
Sb 0.749 0.497 0.872
Sb 0.751 0.997 0.872
Sb 0.753 0.253 0.641
Sb 0.857 0.875 0.256
Sb 0.875 0.143 0.256
Sb 0.892 0.608 0.257
Sb 0.997 0.249 0.872
! Total energy   -73.283 eV/f.u.
! Calculated density   7.65 Mg/m³

---

(22)
! Sc2Cu, relaxed, DFT PBE; values from VASP
&SYSTEM
  ibrav = 0, nat = 6, ntyp = 2
/
ATOMIC_SPECIES
Sc 44.96 Sc.upf
Cu 63.55 Cu.upf
CELL_PARAMETERS angstrom
0.000 5.551 5.551
5.551 0.000 5.551
5.551 5.551 0.000
ATOMIC_POSITIONS crystal
Sc 0.000 0.000 0.000
Sc 0.000 0.000 0.500
Sc 0.000 0.500 0.000
Sc 0.500 0.000 0.000
Cu 0.125 0.125 0.125
Cu 0.875 0.875 0.875
! Formation enthalpy at 0 K   1.4553 eV per atom
! Calculated density   1.49 Mg/m³

---

(23)
! Sc2Cu, relaxed, DFT PBE; values from VASP
&SYSTEM
  ibrav = 0, nat = 6, ntyp = 2
/
ATOMIC_SPECIES
Sc 44.96 Sc.upf
Cu 63.55 Cu.upf
CELL_PARAMETERS angstrom
0.000 3.942 3.942
3.942 0.000 3.942
3.942 3.942 0.000
ATOMIC_POSITIONS crystal
Sc 0.000 0.000 0.000
Sc 0.000 0.000 0.500
Sc 0.000 0.500 0.000
Sc 0.500 0.000 0.000
Cu 0.375 0.375 0.375
Cu 0.625 0.625 0.625
! Formation enthalpy at 0 K   0.5589 eV per atom
! Calculated density   4.16 Mg/m³